# DyTm2Fe6Co3

DyTm2Fe6Co3 after structural relaxation (PBE-GGA, OQMD).

a b c (Å): 8.5763 8.5763 8.5763
angles (deg): 34.05 34.05 34.05
With the nearest neighbours (Å) after each atom.
Sites, in units of the cell vectors:
Dy1 0.0000 0.0000 0.0000  6 Co 2.90, 12 Fe 3.21
Tm1 0.1423 0.1423 0.1423  9 Fe 2.90-3.00, 3 Co 2.96, 3 Tm 3.13
Tm2 0.8577 0.8577 0.8577  9 Fe 2.90-3.00, 3 Co 2.96, 3 Tm 3.13
Fe1 0.0815 0.5827 0.5827  3 Co 2.45-2.51, 4 Fe 2.50-2.52
Fe2 0.4173 0.4173 0.9185  3 Co 2.45-2.51, 4 Fe 2.50-2.52
Fe3 0.4173 0.9185 0.4173  3 Co 2.45-2.51, 4 Fe 2.50-2.52
Fe4 0.5827 0.0815 0.5827  3 Co 2.45-2.51, 4 Fe 2.50-2.52
Fe5 0.5827 0.5827 0.0815  3 Co 2.45-2.51, 4 Fe 2.50-2.52
Fe6 0.9185 0.4173 0.4173  3 Co 2.45-2.51, 4 Fe 2.50-2.52
Co1 0.3325 0.3325 0.3325  6 Fe 2.45-2.48
Co2 0.5000 0.5000 0.5000  6 Fe 2.51
Co3 0.6675 0.6675 0.6675  6 Fe 2.45-2.48

Total magnetic moment   16.3 μB/f.u.
E_tot   -86.52 eV for the cell shown
DFT formation energy   -150 meV/atom

=====

# SmPbAuSe3

SmPbAuSe3 after structural relaxation (PBE-GGA, OQMD).

a b c (Å): 7.9529 4.1694 10.1543
angles (deg): 90.00 105.83 90.00
With the nearest neighbours (Å) after each atom.
Sites, in units of the cell vectors:
Sm1 0.1961 0.2500 0.1659  6 Se 2.94-2.98, 2 Au 3.27
Sm2 0.8039 0.7500 0.8341  6 Se 2.94-2.98, 2 Au 3.27
Pb1 0.2378 0.7500 0.7027  7 Se 3.15-3.42, 1 Au 3.51
Pb2 0.7622 0.2500 0.2973  7 Se 3.15-3.42, 1 Au 3.51
Au1 0.3872 0.7500 0.4081  3 Se 2.62-2.70
Au2 0.6128 0.2500 0.5919  3 Se 2.62-2.70
Se1 0.0755 0.2500 0.8652  3 Sm 2.94-2.96, 2 Pb 3.15
Se2 0.1993 0.2500 0.4601  2 Au 2.70, 1 Sm 2.98
Se3 0.4577 0.7500 0.1708  1 Au 2.62
Se4 0.5423 0.2500 0.8292  1 Au 2.62
Se5 0.8007 0.7500 0.5399  2 Au 2.70, 1 Sm 2.98
Se6 0.9245 0.7500 0.1348  3 Sm 2.94-2.96, 2 Pb 3.15

Total magnetic moment   0.0 μB/f.u.
E_tot   -55.51 eV for the cell shown